Below is a geometry-optimized TaTl2Cl structure, with properties calculated at the PBEsol level.

Output
Crystal system: orthorhombic
Symmetry: Cmm2 (35)
Energy above the most stable polymorph in this dataset (meV/atom): 0
Formation energy (no corrections) (eV per atom): 0.0024

The structure in extended XYZ format:
```
4
Lattice="3.094 0.000 0.000 -1.547 2.826 0.000 0.000 0.000 10.599" Properties=species:S:1:pos:R:3 pbc="T T T"
Tl 0.000 0.000 10.296
Tl 1.547 0.000 2.560
Cl 0.000 0.000 5.865
Ta 1.547 0.000 7.777
```


Below is a geometry-optimized SbAsPdSe2 structure, with properties calculated at the PBEsol level.

Output
Crystal system: tetragonal
Symmetry: P4/mmm (123)
Formation energy (no corrections) (eV per atom): 1.0398

The structure in extended XYZ format:
```
5
Lattice="-2.895 1.225 4.104 0.660 -4.767 1.888 4.235 1.583 2.515" Properties=species:S:1:pos:R:3 pbc="T T T"
Sb 0.000 0.000 0.000
As 2.117 0.791 1.257
Se 0.330 -2.383 0.944
Se -1.447 0.612 2.052
Pd 1.000 -0.980 4.254
```


Below is a geometry-optimized Ta3FeNi structure, with properties calculated at the PBEsol level.

Output
Crystal system: cubic
Symmetry: Pm-3m (221)
Formation enthalpy at 0 K (eV per atom): 0.946

The structure in extended XYZ format:
```
5
Lattice="4.466 0.000 0.000 0.000 4.466 0.000 0.000 0.000 4.466" Properties=species:S:1:pos:R:3 pbc="T T T"
Ni 2.233 2.233 2.233
Fe 0.000 0.000 0.000
Ta 0.000 2.233 0.000
Ta 0.000 0.000 2.233
Ta 2.233 0.000 0.000
```


Below is a geometry-optimized BeP2Pt structure, with properties calculated at the PBEsol level.

Output
Crystal system: tetragonal
Symmetry: P4/mmm (123)
Formation enthalpy at 0 K (eV per atom): 0.152

The structure in extended XYZ format:
```
4
Lattice="3.266 0.000 0.000 0.000 3.266 0.000 0.000 0.000 4.936" Properties=species:S:1:pos:R:3 pbc="T T T"
P 0.000 0.000 3.547
P 0.000 0.000 1.389
Pt 1.633 1.633 0.000
Be 1.633 1.633 2.468
```


Below is a geometry-optimized EuVO4 structure, with properties calculated at the PBEsol level.

Output
Crystal system: tetragonal
Symmetry: I4_1/a (88)
Formation energy (no corrections) (eV per atom): -2.6956

The structure in extended XYZ format:
```
12
Lattice="5.095 0.000 0.000 0.000 5.095 0.000 -2.547 -2.547 5.691" Properties=species:S:1:pos:R:3 pbc="T T T"
Eu 0.000 2.547 2.845
Eu 0.000 0.000 0.000
V 2.547 0.000 2.845
V 2.547 2.547 0.000
O 3.819 3.261 0.919
O 1.275 1.833 0.919
O 1.833 1.272 3.764
O 3.261 -1.272 3.764
O 1.275 -0.714 1.927
O 3.819 0.714 1.927
O 0.714 -1.272 4.772
O -0.714 1.272 4.772
```


Below is a geometry-optimized PdAuO2 structure, with properties calculated at the PBEsol level.

Output
Crystal system: monoclinic
Symmetry: C2/m (12)
Formation energy (no corrections) (eV per atom): -0.2567

The structure in extended XYZ format:
```
8
Lattice="3.019 0.000 0.000 0.000 6.199 -0.058 -1.509 -2.009 5.855" Properties=species:S:1:pos:R:3 pbc="T T T"
Au 0.000 0.235 3.113
Au 1.509 3.955 2.685
O 1.509 4.257 0.658
O 1.509 3.539 4.636
O 0.000 0.650 1.161
O 0.000 -0.067 5.139
Pd 0.000 3.100 -0.029
Pd 1.509 0.000 0.000
```


Values for V, Å³/cell, ordered as above
93 138 89 53 148 109
Values for total DFT energy (no corrections), eV for the cell shown, ordered as above
-19.8 -18.1 -48.0 -21.9 -114.7 -42.8
Values for size of the total moment, μB per cell, ordered as above
0.00 0.00 0.00 0.00 12.00 0.00